(1)
Here is LaGa4Sn2 after structural relaxation from the Alexandria database. Energies are from PBE.

Geometry as CIF:
```
data_LaGa4Sn2
_space_group_name_H-M_alt 'I 4/m m m'
_space_group_IT_number 139
_space_group_name_Hall '-I 4 2'
_cell_length_a 5.694
_cell_length_b 5.694
_cell_length_c 14.569
_cell_angle_alpha 90.00
_cell_angle_beta 90.00
_cell_angle_gamma 90.00
loop_
_atom_site_label
_atom_site_fract_x
_atom_site_fract_y
_atom_site_fract_z
La1 0.000 0.000 0.000
Ga1 0.000 0.000 0.211
Ga2 0.000 0.500 0.000
Sn1 0.000 0.000 0.399
```

Output
As for the density of states at the Fermi level: 10.02 states/eV per cell. The final energy comes out at -3.221 eV per atom.

***

(2)
Here is Zr2SbAs after structural relaxation from the Alexandria database. Energies are from PBE.

Geometry as CIF:
```
data_Zr2SbAs
_space_group_name_H-M_alt 'P 4 m m'
_space_group_IT_number 99
_cell_length_a 3.082
_cell_length_b 3.082
_cell_length_c 10.563
_cell_angle_alpha 90.00
_cell_angle_beta 90.00
_cell_angle_gamma 90.00
loop_
_space_group_symop_operation_xyz
'x,y,z'
'-y,x,z'
'-x,-y,z'
'y,-x,z'
'-x,y,z'
'y,x,z'
'x,-y,z'
'-y,-x,z'
loop_
_atom_site_label
_atom_site_fract_x
_atom_site_fract_y
_atom_site_fract_z
Zr1 0.000 0.000 0.000
Zr2 0.500 0.500 0.229
Sb1 0.500 0.500 0.778
As1 0.000 0.000 0.421
```

Output
As for the density of states at the Fermi level: 1.73 states/eV per cell. The value obtained for the uncorrected formation energy is -253 meV per atom.

***

(3)
Here is La2DyHo3As6 after structural relaxation from the Alexandria database. Energies are from PBE.

Geometry as CIF:
```
data_La2DyHo3As6
_space_group_name_H-M_alt 'C 1 2/m 1'
_space_group_IT_number 12
_cell_length_a 18.287
_cell_length_b 4.200
_cell_length_c 8.395
_cell_angle_alpha 90.00
_cell_angle_beta 103.24
_cell_angle_gamma 90.00
loop_
_space_group_symop_operation_xyz
'x,y,z'
'-x,-y,-z'
'-x,y,-z'
'x,-y,z'
'x+1/2,y+1/2,z'
'-x+1/2,-y+1/2,-z'
'-x+1/2,y+1/2,-z'
'x+1/2,-y+1/2,z'
loop_
_atom_site_label
_atom_site_fract_x
_atom_site_fract_y
_atom_site_fract_z
La1 0.165 0.000 0.331
Dy1 0.000 0.500 0.000
Ho1 0.000 0.500 0.500
Ho2 0.167 0.000 0.834
As1 0.004 0.000 0.752
As2 0.163 0.500 0.592
As3 0.166 0.500 0.073
```

Output
As for the density of states at the Fermi level: 3.43 states/eV per cell. The final energy comes out at -6.202 eV per atom.

***

(4)
Here is CaTbB2O6 after structural relaxation from the Alexandria database. Energies are from PBE.

Geometry as CIF:
```
data_CaTbB2O6
_space_group_name_H-M_alt 'C 1 2/c 1'
_space_group_IT_number 15
_cell_length_a 7.769
_cell_length_b 10.241
_cell_length_c 6.887
_cell_angle_alpha 90.00
_cell_angle_beta 108.15
_cell_angle_gamma 90.00
loop_
_space_group_symop_operation_xyz
'x,y,z'
'-x,-y,-z'
'-x,y,-z+1/2'
'x,-y,z+1/2'
'x+1/2,y+1/2,z'
'-x+1/2,-y+1/2,-z'
'-x+1/2,y+1/2,-z+1/2'
'x+1/2,-y+1/2,z+1/2'
loop_
_atom_site_label
_atom_site_fract_x
_atom_site_fract_y
_atom_site_fract_z
Ca1 0.000 0.082 0.250
Tb1 0.000 0.428 0.750
B1 0.242 0.336 0.245
O1 0.099 0.395 0.097
O2 0.146 0.082 0.614
O3 0.236 0.297 0.751
```

Output
As for the density of states at the Fermi level: 15.66 states/eV per cell. The value obtained for the uncorrected formation energy is -2739 meV per atom.

***

(5)
Here is SrCd11Ni after structural relaxation from the Alexandria database. Energies are from PBE.

Geometry as CIF:
```
data_SrCd11Ni
_space_group_name_H-M_alt 'C 1 2/m 1'
_space_group_IT_number 12
_cell_length_a 5.639
_cell_length_b 14.414
_cell_length_c 7.686
_cell_angle_alpha 90.00
_cell_angle_beta 109.81
_cell_angle_gamma 90.00
loop_
_space_group_symop_operation_xyz
'x,y,z'
'-x,-y,-z'
'-x,y,-z'
'x,-y,z'
'x+1/2,y+1/2,z'
'-x+1/2,-y+1/2,-z'
'-x+1/2,y+1/2,-z'
'x+1/2,-y+1/2,z'
loop_
_atom_site_label
_atom_site_fract_x
_atom_site_fract_y
_atom_site_fract_z
Sr1 0.000 0.000 0.000
Cd1 0.000 0.000 0.500
Cd2 0.095 0.396 0.223
Cd3 0.191 0.170 0.363
Cd4 0.250 0.250 0.000
Ni1 0.000 0.500 0.500
```

Output
As for the density of states at the Fermi level: 11.23 states/eV per cell. The final energy comes out at -1.446 eV per atom.

***

(6)
Here is Th6BiIr3Rh2 after structural relaxation from the Alexandria database. Energies are from PBE.

Geometry as CIF:
```
data_Th6BiIr3Rh2
_space_group_name_H-M_alt 'C 1 2/m 1'
_space_group_IT_number 12
_cell_length_a 17.723
_cell_length_b 4.374
_cell_length_c 7.860
_cell_angle_alpha 90.00
_cell_angle_beta 91.31
_cell_angle_gamma 90.00
loop_
_space_group_symop_operation_xyz
'x,y,z'
'-x,-y,-z'
'-x,y,-z'
'x,-y,z'
'x+1/2,y+1/2,z'
'-x+1/2,-y+1/2,-z'
'-x+1/2,y+1/2,-z'
'x+1/2,-y+1/2,z'
loop_
_atom_site_label
_atom_site_fract_x
_atom_site_fract_y
_atom_site_fract_z
Th1 0.049 0.000 0.292
Th2 0.143 0.500 0.664
Th3 0.200 0.500 0.159
Bi1 0.000 0.500 0.000
Ir1 0.000 0.500 0.500
Ir2 0.144 0.000 0.925
Rh1 0.200 0.000 0.432
```

Output
As for the density of states at the Fermi level: 15.81 states/eV per cell. The final energy comes out at -8.302 eV per atom.

***

(7)
Here is ZrCoRu2 after structural relaxation from the Alexandria database. Energies are from PBE.

Geometry as CIF:
```
data_ZrCoRu2
_space_group_name_H-M_alt 'P 4/m m m'
_space_group_IT_number 123
_space_group_name_Hall '-P 4 2'
_cell_length_a 3.191
_cell_length_b 3.191
_cell_length_c 6.011
_cell_angle_alpha 90.00
_cell_angle_beta 90.00
_cell_angle_gamma 90.00
loop_
_atom_site_label
_atom_site_fract_x
_atom_site_fract_y
_atom_site_fract_z
Zr1 0.000 0.000 0.000
Co1 0.000 0.000 0.500
Ru1 0.500 0.500 0.276
```

Output
As for the density of states at the Fermi level: 6.20 states/eV per cell. The final energy comes out at -8.594 eV per atom.

***

(8)
Here is PrDyY3 after structural relaxation from the Alexandria database. Energies are from PBE.

Geometry as CIF:
```
data_PrDyY3
_space_group_name_H-M_alt 'C 1 2/c 1'
_space_group_IT_number 15
_cell_length_a 9.097
_cell_length_b 15.069
_cell_length_c 9.843
_cell_angle_alpha 90.00
_cell_angle_beta 100.09
_cell_angle_gamma 90.00
loop_
_space_group_symop_operation_xyz
'x,y,z'
'-x,-y,-z'
'-x,y,-z+1/2'
'x,-y,z+1/2'
'x+1/2,y+1/2,z'
'-x+1/2,-y+1/2,-z'
'-x+1/2,y+1/2,-z+1/2'
'x+1/2,-y+1/2,z+1/2'
loop_
_atom_site_label
_atom_site_fract_x
_atom_site_fract_y
_atom_site_fract_z
Pr1 0.242 0.050 0.044
Dy1 0.000 0.017 0.750
Dy2 0.000 0.406 0.250
Y1 0.067 0.189 0.443
Y2 0.101 0.396 0.618
Y3 0.201 0.222 0.813
```

Output
As for the density of states at the Fermi level: 58.63 states/eV per cell. The final energy comes out at -5.642 eV per atom.

***

(9)
Here is KTc2Ir after structural relaxation from the Alexandria database. Energies are from PBE.

Geometry as CIF:
```
data_KTc2Ir
_space_group_name_H-M_alt 'P 4/m m m'
_space_group_IT_number 123
_space_group_name_Hall '-P 4 2'
_cell_length_a 3.259
_cell_length_b 3.259
_cell_length_c 8.113
_cell_angle_alpha 90.00
_cell_angle_beta 90.00
_cell_angle_gamma 90.00
loop_
_atom_site_label
_atom_site_fract_x
_atom_site_fract_y
_atom_site_fract_z
K1 0.000 0.000 0.000
Tc1 0.500 0.500 0.348
Ir1 0.000 0.000 0.500
```

Output
As for the density of states at the Fermi level: 2.70 states/eV per cell. The final energy comes out at -6.804 eV per atom.

***

(10)
Here is Ca2FeRe after structural relaxation from the Alexandria database. Energies are from PBE.

Geometry as CIF:
```
data_Ca2FeRe
_space_group_name_H-M_alt 'I -4 m 2'
_space_group_IT_number 119
_space_group_name_Hall 'I -4 -2'
_cell_length_a 4.835
_cell_length_b 4.835
_cell_length_c 6.823
_cell_angle_alpha 90.00
_cell_angle_beta 90.00
_cell_angle_gamma 90.00
loop_
_atom_site_label
_atom_site_fract_x
_atom_site_fract_y
_atom_site_fract_z
Ca1 0.000 0.000 0.000
Ca2 0.000 0.500 0.250
Fe1 0.000 0.000 0.500
Re1 0.000 0.500 0.750
```

Output
As for the density of states at the Fermi level: 13.15 states/eV per cell. The final energy comes out at -5.359 eV per atom.

***

(11)
Here is Mg2TeP after structural relaxation from the Alexandria database. Energies are from PBE.

Geometry as CIF:
```
data_Mg2TeP
_space_group_name_H-M_alt 'I -4 2 d'
_space_group_IT_number 122
_space_group_name_Hall 'I -4 2bw'
_cell_length_a 6.411
_cell_length_b 6.411
_cell_length_c 11.433
_cell_angle_alpha 90.00
_cell_angle_beta 90.00
_cell_angle_gamma 90.00
loop_
_atom_site_label
_atom_site_fract_x
_atom_site_fract_y
_atom_site_fract_z
Mg1 0.207 0.250 0.125
Te1 0.000 0.000 0.500
P1 0.000 0.000 0.000
```

Output
As for the density of states at the Fermi level: 15.79 states/eV per cell. The value obtained for the uncorrected formation energy is -390 meV per atom.

***

(12)
Here is La6Er5Tm2 after structural relaxation from the Alexandria database. Energies are from PBE.

Geometry as CIF:
```
data_La6Er5Tm2
_space_group_name_H-M_alt 'P b a m'
_space_group_IT_number 55
_cell_length_a 11.705
_cell_length_b 20.839
_cell_length_c 3.626
_cell_angle_alpha 90.00
_cell_angle_beta 90.00
_cell_angle_gamma 90.00
loop_
_space_group_symop_operation_xyz
'x,y,z'
'-x,-y,-z'
'-x,-y,z'
'x,y,-z'
'x+1/2,-y+1/2,-z'
'-x+1/2,y+1/2,z'
'-x+1/2,y+1/2,-z'
'x+1/2,-y+1/2,z'
loop_
_atom_site_label
_atom_site_fract_x
_atom_site_fract_y
_atom_site_fract_z
La1 0.060 0.081 0.000
La2 0.083 0.367 0.000
La3 0.171 0.637 0.500
Er1 0.000 0.500 0.500
Er2 0.095 0.228 0.500
Er3 0.199 0.942 0.500
Tm1 0.163 0.792 0.000
```

Output
As for the density of states at the Fermi level: 35.46 states/eV per cell. The final energy comes out at -4.600 eV per atom.